[1]
PBE SrLaP2, relaxed; total magnetic moment = 0.00 μB per formula unit; formation energy from the elements = -0.939 eV per atom; E = -21.2 eV/cell; SG = Fm-3m (225)
1.0
0.0000 3.6776 3.6776
3.6776 0.0000 3.6776
3.6776 3.6776 0.0000
La P Sr
1 2 1
direct
0.5000 0.5000 0.5000
0.7500 0.7500 0.7500
0.2500 0.2500 0.2500
0.0000 0.0000 0.0000

[2]
PBE SrLaP2, relaxed; total magnetic moment = 0.00 μB per formula unit; formation energy from the elements = -0.853 eV per atom; E = -20.8 eV/cell; SG = I-4m2 (119)
1.0
6.3664 -0.0003 0.0000
3.5103 5.3112 0.0000
-4.9384 -2.6555 3.0154
P Sr La
2 1 1
direct
0.2500 0.7500 0.5000
0.0000 0.0000 0.0000
0.5000 0.5000 0.0000
0.7500 0.2500 0.5000

[3]
PBE SrLaP3, relaxed; total magnetic moment = 0.00 μB per formula unit; formation energy from the elements = 0.289 eV per atom; E = -21.4 eV/cell; SG = Pm-3m (221)
1.0
-1.8967 3.5894 3.3215
-0.6794 -3.7214 3.6336
4.8429 0.8836 1.8106
P Sr La
3 1 1
direct
0.0000 0.5000 0.0000
0.0000 0.0000 0.5000
0.5000 0.0000 0.0000
0.0000 0.0000 0.0000
0.5000 0.5000 0.5000

[4]
PBE SrLa2P, relaxed; total magnetic moment = 0.75 μB per formula unit; formation energy from the elements = -0.725 eV per atom; E = -19.8 eV/cell; SG = R3m (160)
1.0
4.1455 0.0000 0.0000
2.0727 3.5901 0.0000
2.0727 1.1967 10.5303
La Sr P
2 1 1
direct
0.0519 0.0519 0.8442
0.2814 0.2814 0.1558
0.5003 0.5003 0.4990
0.6663 0.6663 0.0010

[5]
PBE SrLa2P, relaxed; total magnetic moment = 0.00 μB per formula unit; formation energy from the elements = -0.433 eV per atom; E = -37.4 eV/cell; SG = I-42d (122)
1.0
9.3268 0.0000 0.0000
0.0000 9.3268 0.0000
4.6634 4.6634 3.2526
La Sr P
4 2 2
direct
0.5396 0.1250 0.2500
0.8750 0.7896 0.7500
0.3750 0.4604 0.7500
0.2104 0.6250 0.2500
0.0000 0.0000 0.0000
0.7500 0.2500 0.5000
0.5000 0.5000 0.0000
0.2500 0.7500 0.5000

[6]
PBE SrLaP3, relaxed; total magnetic moment = 0.00 μB per formula unit; formation energy from the elements = -0.077 eV per atom; E = -23.2 eV/cell; SG = Pm-3m (221)
1.0
-1.2458 3.8398 -3.5832
2.9002 -2.5673 -3.7595
-4.3787 -2.7930 -1.4706
P Sr La
3 1 1
direct
0.0000 0.5000 0.0000
0.5000 0.0000 0.0000
0.0000 0.0000 0.5000
0.5000 0.5000 0.5000
0.0000 0.0000 0.0000

[7]
PBE SrLa2P, relaxed; total magnetic moment = 0.00 μB per formula unit; formation energy from the elements = -0.536 eV per atom; E = -19.1 eV/cell; SG = Cm (8)
1.0
-5.3146 -2.5691 2.2340
-2.3382 -4.7007 3.5032
-1.6454 1.6753 6.6724
P Sr La
1 1 2
direct
0.5395 0.5395 0.6237
0.8108 0.8108 0.6355
0.9895 0.9895 0.9498
0.1602 0.1602 0.2909

[8]
PBE SrLaP2, relaxed; total magnetic moment = 0.00 μB per formula unit; formation energy from the elements = -1.110 eV per atom; E = -21.9 eV/cell; SG = P4/mmm (123)
1.0
6.0973 0.0000 0.0000
0.0000 4.3177 0.0000
0.0000 0.0000 4.3152
P La Sr
2 1 1
direct
0.5000 0.3750 0.3751
0.0000 0.8750 0.8749
0.5000 0.8750 0.8750
0.0000 0.3750 0.3750

[9]
PBE SrLa2P, relaxed; total magnetic moment = 0.00 μB per formula unit; formation energy from the elements = -0.455 eV per atom; E = -18.8 eV/cell; SG = Amm2 (38)
1.0
2.2095 -6.7788 0.0000
2.2095 6.7788 0.0000
0.0000 0.0000 4.5648
La Sr P
2 1 1
direct
0.4472 0.5528 0.5000
0.9977 0.0023 0.0000
0.7333 0.2667 0.5000
0.3216 0.6784 0.0000

[10]
PBE SrLa4P5, relaxed; total magnetic moment = 0.00 μB per formula unit; formation energy from the elements = -1.406 eV per atom; E = -62.5 eV/cell; SG = Immm (71)
1.0
-4.2213 0.5279 -0.5874
0.3540 -3.0062 -5.2459
0.0565 -8.0135 8.0922
P La Sr
5 4 1
direct
0.1982 0.6982 0.3964
0.3932 0.8932 0.7864
0.8018 0.3018 0.6036
0.0000 0.5000 0.0000
0.6068 0.1068 0.2136
0.4013 0.4013 0.8025
0.5987 0.5987 0.1975
0.7996 0.7996 0.5991
0.2004 0.2004 0.4009
0.0000 0.0000 0.0000

[11]
PBE SrLa2P, relaxed; total magnetic moment = 0.45 μB per formula unit; formation energy from the elements = -0.534 eV per atom; E = -19.1 eV/cell; SG = Cmmm (65)
1.0
3.0998 -6.2723 0.0000
3.0998 6.2723 0.0000
0.0000 0.0000 3.9708
La Sr P
2 1 1
direct
0.3367 0.6633 0.0000
0.6633 0.3367 0.0000
0.0000 0.0000 0.5000
0.5000 0.5000 0.5000

[12]
PBE SrLa2P, relaxed; total magnetic moment = 0.00 μB per formula unit; formation energy from the elements = -0.526 eV per atom; E = -19.1 eV/cell; SG = Imm2 (44)
1.0
-1.6574 5.8670 5.5394
-5.9505 5.5674 1.2034
2.8016 -7.6484 -1.2275
P La Sr
1 2 1
direct
0.4966 0.4966 0.0000
0.3426 0.8426 0.5000
0.9930 0.9930 0.0000
0.6677 0.1677 0.5000

[13]
PBE SrLaP2, relaxed; total magnetic moment = 0.00 μB per formula unit; formation energy from the elements = -1.060 eV per atom; E = -21.7 eV/cell; SG = R3m (160)
1.0
-3.6119 -0.1898 -2.2798
-3.7179 -0.8119 1.9488
-3.4767 6.8864 0.9260
Sr La P
1 1 2
direct
0.4968 0.4968 0.5095
0.6692 0.6692 0.9925
0.2565 0.2565 0.2306
0.0775 0.0775 0.7674

[14]
PBE SrLa2P, relaxed; total magnetic moment = 0.00 μB per formula unit; formation energy from the elements = -0.235 eV per atom; E = -17.9 eV/cell; SG = I4/mmm (139)
1.0
-2.3604 2.3604 5.2861
2.3604 -2.3604 5.2861
2.3604 2.3604 -5.2861
La P Sr
2 1 1
direct
0.2500 0.7500 0.5000
0.7500 0.2500 0.5000
0.5000 0.5000 0.0000
0.0000 0.0000 0.0000

[15]
PBE SrLa3P, relaxed; total magnetic moment = 0.00 μB per formula unit; formation energy from the elements = -0.480 eV per atom; E = -24.3 eV/cell; SG = Pm-3m (221)
1.0
5.8050 0.0000 0.0000
0.0000 5.8050 0.0000
0.0000 0.0000 5.8050
La Sr P
3 1 1
direct
0.0000 0.5000 0.0000
0.0000 0.0000 0.5000
0.5000 0.0000 0.0000
0.5000 0.5000 0.5000
0.0000 0.0000 0.0000

[16]
PBE SrLa2P, relaxed; total magnetic moment = 0.47 μB per formula unit; formation energy from the elements = -0.646 eV per atom; E = -19.5 eV/cell; SG = R-3m (166)
1.0
-3.8681 0.6176 -1.2157
-3.0793 -0.3910 2.6807
-1.4182 10.8067 3.0845
La P Sr
2 1 1
direct
0.1175 0.1175 0.6475
0.8825 0.8825 0.3525
0.5000 0.5000 0.5000
0.0000 0.0000 0.0000

[17]
PBE SrLaP2, relaxed; total magnetic moment = 0.00 μB per formula unit; formation energy from the elements = -0.178 eV per atom; E = -18.1 eV/cell; SG = F-43m (216)
1.0
-1.4429 4.2785 -2.3600
-2.1856 -0.2388 -4.5960
-4.9526 1.0739 -0.5245
Sr La P
1 1 2
direct
0.7500 0.7500 0.7500
0.5000 0.5000 0.5000
0.2500 0.2500 0.2500
0.0000 0.0000 0.0000

[18]
PBE SrLa2P, relaxed; total magnetic moment = 0.00 μB per formula unit; formation energy from the elements = -0.722 eV per atom; E = -19.8 eV/cell; SG = R-3m (166)
1.0
10.8471 -0.0144 -0.0085
10.0604 4.0555 -0.0085
10.0604 1.9445 3.5590
P La Sr
1 2 1
direct
0.2500 0.2500 0.2500
0.9682 0.9682 0.9682
0.5318 0.5318 0.5318
0.7500 0.7500 0.7500

[19]
PBE SrLaP2, relaxed; total magnetic moment = 0.00 μB per formula unit; formation energy from the elements = -0.965 eV per atom; E = -21.3 eV/cell; SG = Cmmm (65)
1.0
3.6875 0.0101 0.0000
-0.6551 3.6288 0.0000
0.0000 0.0000 7.6948
P La Sr
2 1 1
direct
0.0000 0.0000 0.9870
0.0000 0.0000 0.5130
0.5000 0.5000 0.7500
0.5000 0.5000 0.2500

[20]
PBE SrLa2P, relaxed; total magnetic moment = 0.00 μB per formula unit; formation energy from the elements = -0.292 eV per atom; E = -18.1 eV/cell; SG = P4/mmm (123)
1.0
4.7910 0.0000 0.0000
0.0000 4.7910 0.0000
0.0000 0.0000 4.9585
La P Sr
2 1 1
direct
0.5000 0.0000 0.0000
0.0000 0.5000 0.0000
0.5000 0.5000 0.5000
0.0000 0.0000 0.5000

[21]
PBE SrLa2P, relaxed; total magnetic moment = 0.00 μB per formula unit; formation energy from the elements = -0.520 eV per atom; E = -19.0 eV/cell; SG = Immm (71)
1.0
6.1312 1.3858 3.4384
1.0539 -2.0055 6.7972
-1.3958 -1.8168 -6.7887
Sr La P
1 2 1
direct
0.5000 0.0000 0.5000
0.1746 0.1746 0.0000
0.8254 0.8254 0.0000
0.0000 0.5000 0.5000

[22]
PBE SrLaP2, relaxed; total magnetic moment = 0.00 μB per formula unit; formation energy from the elements = -1.050 eV per atom; E = -21.6 eV/cell; SG = Cm (8)
1.0
-3.5901 4.3044 1.8409
-1.6865 2.5107 5.0654
3.6323 2.5690 -0.7154
P Sr La
2 1 1
direct
0.0367 0.0367 0.9259
0.2190 0.2190 0.3203
0.4927 0.4927 0.3934
0.7516 0.7516 0.8604

[23]
PBE SrLa2P, relaxed; total magnetic moment = 0.00 μB per formula unit; formation energy from the elements = -0.115 eV per atom; E = -17.4 eV/cell; SG = C2/m (12)
1.0
5.6331 3.3012 0.0173
-5.6331 3.3012 0.0173
0.0000 1.8926 3.2546
La P Sr
2 1 1
direct
0.5000 0.0000 0.0000
0.0000 0.5000 0.0000
0.0000 0.0000 0.5000
0.5000 0.5000 0.5000

[24]
PBE SrLa2P, relaxed; total magnetic moment = 0.00 μB per formula unit; formation energy from the elements = -0.219 eV per atom; E = -17.8 eV/cell; SG = I-4m2 (119)
1.0
-4.9500 -3.5952 1.2032
-4.1896 2.4145 3.9362
2.9533 1.9591 -5.1299
La P Sr
2 1 1
direct
0.0000 0.0000 0.0000
0.2500 0.7500 0.5000
0.5000 0.5000 0.0000
0.7500 0.2500 0.5000

[25]
PBE SrLa3P, relaxed; total magnetic moment = 0.00 μB per formula unit; formation energy from the elements = 1.029 eV per atom; E = -16.7 eV/cell; SG = Pm-3m (221)
1.0
-2.3457 4.5775 2.3926
-4.6687 -3.0031 1.1684
2.2095 -1.4860 5.0091
P La Sr
1 3 1
direct
0.5000 0.5000 0.5000
0.0000 0.5000 0.0000
0.0000 0.0000 0.5000
0.5000 0.0000 0.0000
0.0000 0.0000 0.0000

[26]
PBE Sr4LaP, relaxed; total magnetic moment = 1.06 μB per formula unit; formation energy from the elements = 0.545 eV per atom; E = -13.8 eV/cell; SG = F-43m (216)
1.0
6.0476 -1.7416 3.4535
3.6760 5.0331 3.5621
0.1436 -0.0648 7.1769
P Sr La
1 4 1
direct
0.0000 0.0000 0.0000
0.3751 0.3751 0.8747
0.8747 0.3751 0.3751
0.3751 0.3751 0.3751
0.3751 0.8747 0.3751
0.7500 0.7500 0.7500

[27]
PBE SrLa2P, relaxed; total magnetic moment = 0.79 μB per formula unit; formation energy from the elements = -0.514 eV per atom; E = -19.0 eV/cell; SG = P4mm (99)
1.0
3.8518 0.0000 0.0000
0.0000 3.8518 0.0000
0.0000 0.0000 9.1268
La P Sr
2 1 1
direct
0.0000 0.0000 0.0352
0.5000 0.5000 0.3230
0.0000 0.0000 0.4615
0.5000 0.5000 0.6803

[28]
PBE SrLa2P, relaxed; total magnetic moment = 3.27 μB per formula unit; formation energy from the elements = 0.039 eV per atom; E = -16.8 eV/cell; SG = F-43m (216)
1.0
-4.1379 0.1809 3.6509
-4.3607 3.2566 -0.9288
-4.8918 -2.2291 -1.2590
P La Sr
1 2 1
direct
0.5000 0.5000 0.5000
0.7500 0.7500 0.7500
0.0000 0.0000 0.0000
0.2500 0.2500 0.2500

[29]
PBE SrLa2P, relaxed; total magnetic moment = 0.00 μB per formula unit; formation energy from the elements = -0.560 eV per atom; E = -19.2 eV/cell; SG = P4/mmm (123)
1.0
3.7415 0.0000 0.0000
0.0000 3.7415 0.0000
0.0000 0.0000 10.0774
La Sr P
2 1 1
direct
0.0000 0.0000 0.8419
0.0000 0.0000 0.1581
0.5000 0.5000 0.5000
0.5000 0.5000 0.0000

[30]
PBE SrLaTcP2, relaxed; total magnetic moment = 0.92 μB per formula unit; formation energy from the elements = 1.635 eV per atom; E = -19.6 eV/cell; SG = P4/mmm (123)
1.0
-1.3157 -3.2145 3.9976
-1.0360 -4.6573 -4.0859
5.0547 -1.5151 0.4454
Tc La Sr P
1 1 1 2
direct
0.5000 0.5000 0.5000
0.0000 0.0000 0.0000
0.0000 0.5000 0.0000
0.5000 0.0000 0.0000
0.0000 0.0000 0.5000